Entry from Alexandria: La2TlIn4 after structural relaxation (PBE-GGA).

Lattice parameters (Å, degrees): 5.5489 5.5489 16.3338 90.00 90.00 90.00
Space group I4/mmm (No. 139)
Asymmetric unit:
La (0.0000, 0.0000, 0.1247) (multiplicity 4)
Tl (0.0000, 0.0000, 0.5000) (multiplicity 2)
In (0.0000, 0.0000, 0.3213) (multiplicity 4)
In (0.0000, 0.5000, 0.0000) (multiplicity 4)

Values from the calculation:
E_form (meV per atom): 96
Energy (eV/atom): -3.214
Crystal system: tetragonal
Energy relative to the lowest polymorph listed for this composition (eV per atom): 0.318


Entry from Alexandria: GdThN after structural relaxation (PBE-GGA).

Lattice parameters (Å, degrees): 3.5914 3.5914 6.2300 90.00 90.00 120.00
Space group P3m1 (No. 156)
Asymmetric unit:
Gd (0.0000, 0.0000, 0.0000) (multiplicity 1)
Th (0.6667, 0.3333, 0.5501) (multiplicity 1)
N (0.3333, 0.6667, 0.7822) (multiplicity 1)

Values from the calculation:
Energy (eV/atom): -10.847
Crystal system: trigonal
Energy relative to the lowest polymorph listed for this composition (eV per atom): 0.000
Energy relative to the elements, uncorrected (meV/atom): -905


Entry from Alexandria: HfTaO2 after structural relaxation (PBE-GGA).

Lattice parameters (Å, degrees): 2.9879 2.9879 20.8561 90.00 90.00 120.00
Space group R-3m (No. 166, hexagonal axes)
Asymmetric unit:
Hf (0.0000, 0.0000, 0.0000) (multiplicity 3)
Ta (0.0000, 0.0000, 0.5000) (multiplicity 3)
O (0.0000, 0.0000, 0.0989) (multiplicity 6)

Values from the calculation:
Energy (eV/atom): -9.666
Crystal system: trigonal
Energy relative to the lowest polymorph listed for this composition (eV per atom): 0.312
Energy relative to the elements, uncorrected (meV/atom): -1736


Entry from Alexandria: VGaPt4 after structural relaxation (PBE-GGA).

Lattice parameters (Å, degrees): 4.0443 4.0443 6.1970 90.00 90.00 90.00
Space group P4/mmm (No. 123)
Asymmetric unit:
V (0.0000, 0.0000, 0.0000) (multiplicity 1)
Ga (0.5000, 0.5000, 0.5000) (multiplicity 1)
Pt (0.0000, 0.5000, 0.2485) (multiplicity 4)

Values from the calculation:
E_form (meV per atom): -401
Energy (eV/atom): -6.452
Crystal system: tetragonal


Entry from Alexandria: CaZn2HgAu5 after structural relaxation (PBE-GGA).

Lattice parameters (Å, degrees): 4.8529 4.8529 7.8476 90.00 90.00 90.00
Space group P4/mmm (No. 123)
Asymmetric unit:
Ca (0.0000, 0.0000, 0.0000) (multiplicity 1)
Zn (0.5000, 0.5000, 0.3450) (multiplicity 2)
Hg (0.0000, 0.0000, 0.5000) (multiplicity 1)
Au (0.0000, 0.5000, 0.2360) (multiplicity 4)
Au (0.5000, 0.5000, 0.0000) (multiplicity 1)

Values from the calculation:
E_form (meV per atom): -203
Energy (eV/atom): -2.563
Crystal system: tetragonal


Entry from Alexandria: ThScOs after structural relaxation (PBE-GGA).

Lattice parameters (Å, degrees): 6.7031 6.7031 6.7031 90.00 90.00 90.00
Space group F-43m (No. 216)
Asymmetric unit:
Th (0.0000, 0.0000, 0.0000) (multiplicity 4)
Sc (0.0000, 0.0000, 0.5000) (multiplicity 4)
Os (0.2500, 0.2500, 0.2500) (multiplicity 4)

Values from the calculation:
E_form (meV per atom): -260
Energy (eV/atom): -8.587
Crystal system: cubic
Energy relative to the lowest polymorph listed for this composition (eV per atom): 0.073


Entry from Alexandria: Nb2HgOs after structural relaxation (PBE-GGA).

Lattice parameters (Å, degrees): 7.5552 7.5552 5.5518 90.00 90.00 90.00
Space group I-42d (No. 122)
Asymmetric unit:
Nb (0.2015, 0.7500, 0.1250) (multiplicity 8)
Hg (0.0000, 0.0000, 0.5000) (multiplicity 4)
Os (0.0000, 0.0000, 0.0000) (multiplicity 4)

Values from the calculation:
E_form (meV per atom): 511
Energy (eV/atom): -7.407
Crystal system: tetragonal


Entry from Alexandria: Pa2InSi after structural relaxation (PBE-GGA).

Lattice parameters (Å, degrees): 3.6768 3.6768 26.3725 90.00 90.00 120.00
Space group R-3m (No. 166, hexagonal axes)
Asymmetric unit:
Pa (0.0000, 0.0000, 0.2357) (multiplicity 6)
In (0.0000, 0.0000, 0.0000) (multiplicity 3)
Si (0.0000, 0.0000, 0.5000) (multiplicity 3)

Values from the calculation:
Energy (eV/atom): -6.818
Crystal system: trigonal
Energy relative to the lowest polymorph listed for this composition (eV per atom): 0.144
Energy relative to the elements, uncorrected (meV/atom): -30